First-principles (PBE-GGA) data for a relaxed ErTmSe2O crystal, as listed in the Alexandria database.

Lattice parameters (Å, degrees): 3.9202 3.9202 14.4112 90.00 90.00 90.00
Last column: nearest neighbours and their distance in Å.
Space group P4/nmm (No. 129, origin choice 2)
Inequivalent atoms, fractional coordinates:
Er (0.2500, 0.2500, 0.0749) (multiplicity 2)  4 O 2.24
Tm (0.2500, 0.2500, 0.6286) (multiplicity 2)  5 Se 2.60-2.83
Se (0.2500, 0.2500, 0.4124) (multiplicity 2)  5 Tm 2.83-3.11
Se (0.2500, 0.2500, 0.8088) (multiplicity 2)  1 Tm 2.60
O (0.2500, 0.7500, 0.0000) (multiplicity 2)  4 Er 2.24

## Properties
* spin magnetization: 0.00 μB per cell
* DOS(E_F): 2.27 states/eV/cell
* energy relative to the elements, uncorrected: -2408 meV per atom
* volume: 22.15 Å³/atom